(1)
# Cs2RbSCl6 | the Alexandria database | PBE | optimized geometry
# density of states at the Fermi level = 0.0 states/eV per cell
# size of the total moment = 2.00 μB/cell
# ΔE_f (raw) = -1163 meV/atom
data_Cs2RbSCl6
_cell_length_a 7.684
_cell_length_b 7.684
_cell_length_c 12.273
_cell_angle_alpha 90.00
_cell_angle_beta 90.00
_cell_angle_gamma 90.00
_symmetry_space_group_name_H-M 'I 4/m m m'
_symmetry_Int_Tables_number 139
_symmetry_space_group_name_Hall '-I 4 2'
loop_
_atom_site_label
_atom_site_fract_x
_atom_site_fract_y
_atom_site_fract_z
Cs1 0.000 0.500 0.250
Rb1 0.000 0.000 0.000
S1 0.000 0.000 0.500
Cl1 0.000 0.000 0.255
Cl2 0.212 0.212 0.500



(2)
# BeNbNi2 | the Alexandria database | PBE | optimized geometry
# density of states at the Fermi level = 2.6 states/eV per cell
# formation enthalpy at 0 K = -0.305 eV per atom
# size of the total moment = 0.00 μB/cell
data_BeNbNi2
_cell_length_a 2.683
_cell_length_b 2.683
_cell_length_c 6.514
_cell_angle_alpha 90.00
_cell_angle_beta 90.00
_cell_angle_gamma 90.00
_symmetry_space_group_name_H-M 'P 4/m m m'
_symmetry_Int_Tables_number 123
_symmetry_space_group_name_Hall '-P 4 2'
loop_
_atom_site_label
_atom_site_fract_x
_atom_site_fract_y
_atom_site_fract_z
Be1 0.000 0.000 0.000
Nb1 0.000 0.000 0.500
Ni1 0.500 0.500 0.198